# 1
DFT (PBEsol) results for a relaxed Li4Cr3Sn5O16 crystal.

Computed properties:
formation energy (no corrections) = -1.811 eV/atom
magnetic moment = 0.32 μB per atom

The structure in CIF format:
```
data_Li4Cr3Sn5O16
_space_group_name_H-M_alt 'C 1 m 1'
_space_group_IT_number 8
_cell_length_a 10.5212
_cell_length_b 6.1078
_cell_length_c 9.7872
_cell_angle_alpha 90.00
_cell_angle_beta 90.64
_cell_angle_gamma 90.00
loop_
_space_group_symop_operation_xyz
'x,y,z'
'x,-y,z'
'x+1/2,y+1/2,z'
'x+1/2,-y+1/2,z'
loop_
_atom_site_label
_atom_site_type_symbol
_atom_site_fract_x
_atom_site_fract_y
_atom_site_fract_z
Li1 Li 0.0000 0.0000 0.0000
Li2 Li 0.0050 0.0000 0.4888
Li3 Li 0.1863 0.5000 0.0998
Li4 Li 0.3509 0.0000 0.5836
Cr1 Cr 0.3465 0.5000 0.7715
Cr2 Cr 0.4311 0.2447 0.2748
Sn1 Sn 0.1008 0.2526 0.7730
Sn2 Sn 0.1849 0.0000 0.2747
Sn3 Sn 0.1864 0.5000 0.4899
Sn4 Sn 0.3554 0.0000 0.0023
O1 O 0.0083 0.0000 0.6720
O2 O 0.0088 0.0000 0.1824
O3 O 0.0323 0.5000 0.6419
O4 O 0.0922 0.2407 0.3925
O5 O 0.1748 0.0000 0.8965
O6 O 0.1899 0.5000 0.8850
O7 O 0.2608 0.2800 0.6476
O8 O 0.2794 0.2286 0.1517
O9 O 0.3542 0.5000 0.3827
O10 O 0.3559 0.0000 0.3806
O11 O 0.4328 0.2642 0.8866
O12 O 0.4993 0.0000 0.1608
```

---

# 2
DFT (PBEsol) results for a relaxed PWSe4 crystal.

Computed properties:
formation energy (no corrections) = 1.362 eV/atom
magnetic moment = 0.16 μB per atom

The structure in CIF format:
```
data_PWSe4
_space_group_name_H-M_alt 'F -4 3 m'
_space_group_IT_number 216
_space_group_name_Hall 'F -4 2 3'
_cell_length_a 7.6130
_cell_length_b 7.6130
_cell_length_c 7.6130
_cell_angle_alpha 90.00
_cell_angle_beta 90.00
_cell_angle_gamma 90.00
loop_
_atom_site_label
_atom_site_type_symbol
_atom_site_fract_x
_atom_site_fract_y
_atom_site_fract_z
P1 P 0.0000 0.0000 0.0000
W1 W 0.2500 0.2500 0.2500
Se1 Se 0.1242 0.1242 0.6242
```

---

# 3
DFT (PBEsol) results for a relaxed CsIr2RuS crystal.

Computed properties:
formation energy (no corrections) = 1.191 eV/atom
magnetic moment = 0.00 μB per atom

The structure in CIF format:
```
data_CsIr2RuS
_space_group_name_H-M_alt 'P 4/m m m'
_space_group_IT_number 123
_space_group_name_Hall '-P 4 2'
_cell_length_a 4.8121
_cell_length_b 4.8121
_cell_length_c 4.6591
_cell_angle_alpha 90.00
_cell_angle_beta 90.00
_cell_angle_gamma 90.00
loop_
_atom_site_label
_atom_site_type_symbol
_atom_site_fract_x
_atom_site_fract_y
_atom_site_fract_z
Cs1 Cs 0.0000 0.0000 0.0000
Ir1 Ir 0.0000 0.5000 0.5000
Ru1 Ru 0.5000 0.5000 0.5000
S1 S 0.5000 0.5000 0.0000
```

---

# 4
DFT (PBEsol) results for a relaxed CuRh3 crystal.

Computed properties:
magnetic moment = 0.00 μB per atom
calculated formation energy = 0.0599 eV per atom

The structure in CIF format:
```
data_CuRh3
_space_group_name_H-M_alt 'P m m m'
_space_group_IT_number 47
_cell_length_a 2.6700
_cell_length_b 3.7067
_cell_length_c 5.2725
_cell_angle_alpha 90.00
_cell_angle_beta 90.00
_cell_angle_gamma 90.00
loop_
_space_group_symop_operation_xyz
'x,y,z'
'-x,-y,-z'
'-x,-y,z'
'x,y,-z'
'x,-y,-z'
'-x,y,z'
'-x,y,-z'
'x,-y,z'
loop_
_atom_site_label
_atom_site_type_symbol
_atom_site_fract_x
_atom_site_fract_y
_atom_site_fract_z
Cu1 Cu 0.0000 0.0000 0.0000
Rh1 Rh 0.0000 0.0000 0.5000
Rh2 Rh 0.5000 0.5000 0.2470
```